Record 1
{"formula": "La2TmPb", "functional": "PBE-GGA", "state": "optimized geometry", "lattice_angstrom": [[6.769, 0.000, 0.000], [0.000, 6.608, 0.000], [-1.181, 0.000, 11.475]], "species": ["La", "La", "La", "La", "La", "La", "La", "La", "Tm", "Tm", "Tm", "Tm", "Pb", "Pb", "Pb", "Pb"], "fractional_positions": [[0.029, 0.189, 0.205], [0.029, 0.311, 0.705], [0.257, 0.163, 0.472], [0.257, 0.337, 0.972], [0.743, 0.663, 0.028], [0.743, 0.837, 0.528], [0.971, 0.689, 0.295], [0.971, 0.811, 0.795], [0.448, 0.571, 0.282], [0.448, 0.929, 0.782], [0.552, 0.071, 0.218], [0.552, 0.429, 0.718], [0.247, 0.679, 0.552], [0.247, 0.821, 0.052], [0.753, 0.179, 0.948], [0.753, 0.321, 0.448]], "dos_ef_per_ev_cell": 13.38, "sg": "P2_1/c, No. 14", "final_energy_ev_per_atom": -4.807, "e_above_lowest_polymorph_kcal_per_mol_atoms": 0.67}

***

Record 2
{"formula": "Sc2InCu", "functional": "PBE-GGA", "state": "optimized geometry", "lattice_angstrom": [[-2.091, 2.091, 4.646], [2.091, -2.091, 4.646], [2.091, 2.091, -4.646]], "species": ["Sc", "Sc", "In", "Cu"], "fractional_positions": [[0.000, 0.000, 0.000], [0.750, 0.250, 0.500], [0.500, 0.500, 0.000], [0.250, 0.750, 0.500]], "dos_ef_per_ev_cell": 4.64, "sg": "I-4m2, No. 119", "final_energy_ev_per_atom": -5.032}

***

Record 3
{"formula": "Dy3TlHg", "functional": "PBE-GGA", "state": "optimized geometry", "lattice_angstrom": [[6.426, 0.000, 0.000], [0.000, 10.218, 0.000], [0.000, 0.000, 8.939]], "species": ["Dy", "Dy", "Dy", "Dy", "Dy", "Dy", "Dy", "Dy", "Dy", "Dy", "Dy", "Dy", "Tl", "Tl", "Tl", "Tl", "Hg", "Hg", "Hg", "Hg"], "fractional_positions": [[0.111, 0.068, 0.179], [0.111, 0.432, 0.179], [0.184, 0.750, 0.362], [0.316, 0.250, 0.862], [0.389, 0.568, 0.679], [0.389, 0.932, 0.679], [0.611, 0.068, 0.321], [0.611, 0.432, 0.321], [0.684, 0.750, 0.138], [0.816, 0.250, 0.638], [0.889, 0.568, 0.821], [0.889, 0.932, 0.821], [0.176, 0.750, 0.011], [0.324, 0.250, 0.511], [0.676, 0.750, 0.489], [0.824, 0.250, 0.989], [0.000, 0.000, 0.500], [0.000, 0.500, 0.500], [0.500, 0.000, 0.000], [0.500, 0.500, 0.000]], "dos_ef_per_ev_cell": 21.33, "sg": "Pnma, No. 62", "final_energy_ev_per_atom": -3.465, "e_above_lowest_polymorph_kcal_per_mol_atoms": 3.27}

***

Record 4
{"formula": "TcGePt2", "functional": "PBE-GGA", "state": "optimized geometry", "lattice_angstrom": [[-2.347, 2.347, 7.262], [2.347, -2.347, 7.262], [2.347, 2.347, -7.262]], "species": ["Tc", "Tc", "Ge", "Ge", "Pt", "Pt", "Pt", "Pt"], "fractional_positions": [[0.000, 0.000, 0.000], [0.750, 0.250, 0.500], [0.250, 0.750, 0.500], [0.500, 0.500, 0.000], [0.138, 0.625, 0.013], [0.375, 0.388, 0.513], [0.612, 0.125, 0.987], [0.875, 0.862, 0.487]], "dos_ef_per_ev_cell": 9.01, "sg": "I-42d, No. 122", "final_energy_ev_per_atom": -6.303}

***

Record 5
{"formula": "La6Co3Ni", "functional": "PBE-GGA", "state": "optimized geometry", "lattice_angstrom": [[11.738, 0.000, 0.000], [0.000, 4.026, 0.000], [-4.666, 0.000, 11.336]], "species": ["La", "La", "La", "La", "La", "La", "La", "La", "La", "La", "La", "La", "Co", "Co", "Co", "Co", "Co", "Co", "Ni", "Ni"], "fractional_positions": [[0.053, 0.250, 0.399], [0.094, 0.750, 0.934], [0.240, 0.250, 0.768], [0.251, 0.750, 0.266], [0.406, 0.250, 0.568], [0.437, 0.250, 0.102], [0.563, 0.750, 0.898], [0.594, 0.750, 0.432], [0.749, 0.250, 0.734], [0.760, 0.750, 0.232], [0.906, 0.250, 0.066], [0.947, 0.750, 0.601], [0.002, 0.750, 0.223], [0.331, 0.750, 0.941], [0.412, 0.250, 0.337], [0.588, 0.750, 0.663], [0.669, 0.250, 0.059], [0.998, 0.250, 0.777], [0.198, 0.750, 0.567], [0.802, 0.250, 0.433]], "dos_ef_per_ev_cell": 15.44, "sg": "P2_1/m, No. 11", "final_energy_ev_per_atom": -5.782}

***

Record 6
{"formula": "FeIr2", "functional": "PBE-GGA", "state": "optimized geometry", "lattice_angstrom": [[2.710, 0.000, 0.000], [-1.355, 2.347, 0.000], [0.000, 0.000, 6.497]], "species": ["Fe", "Ir", "Ir"], "fractional_positions": [[0.000, 0.000, 0.000], [0.333, 0.667, 0.678], [0.667, 0.333, 0.322]], "dos_ef_per_ev_cell": 3.28, "sg": "P-3m1, No. 164", "final_energy_ev_per_atom": -8.764}

***

Record 7
{"formula": "Zr2InMo", "functional": "PBE-GGA", "state": "optimized geometry", "lattice_angstrom": [[1.752, -2.468, 0.000], [1.752, 2.468, 0.000], [0.000, 0.000, 9.593]], "species": ["Zr", "Zr", "In", "Mo"], "fractional_positions": [[0.000, 0.000, 0.000], [0.500, 0.500, 0.273], [0.000, 0.000, 0.540], [0.500, 0.500, 0.775]], "dos_ef_per_ev_cell": 5.99, "sg": "Cmm2, No. 35", "final_energy_ev_per_atom": -7.534}

***

Record 8
{"formula": "CsTiGeAu2", "functional": "PBE-GGA", "state": "optimized geometry", "lattice_angstrom": [[5.802, 0.000, 0.000], [0.000, 5.802, 0.000], [0.000, 0.000, 5.705]], "species": ["Cs", "Ti", "Ge", "Au", "Au"], "fractional_positions": [[0.000, 0.000, 0.000], [0.500, 0.500, 0.500], [0.000, 0.000, 0.500], [0.000, 0.500, 0.000], [0.500, 0.000, 0.000]], "dos_ef_per_ev_cell": 7.86, "sg": "P4/mmm, No. 123", "final_energy_ev_per_atom": -2.135}

***

Record 9
{"formula": "Y3Er4Pb4", "functional": "PBE-GGA", "state": "optimized geometry", "lattice_angstrom": [[-2.074, 4.704, 8.576], [2.074, -4.704, 8.576], [2.074, 4.704, -8.576]], "species": ["Y", "Y", "Y", "Er", "Er", "Er", "Er", "Pb", "Pb", "Pb", "Pb"], "fractional_positions": [[0.000, 0.000, 0.000], [0.392, 0.892, 0.500], [0.608, 0.108, 0.500], [0.024, 0.330, 0.694], [0.364, 0.670, 0.694], [0.636, 0.330, 0.306], [0.976, 0.670, 0.306], [0.252, 0.252, 0.000], [0.290, 0.500, 0.790], [0.710, 0.500, 0.210], [0.748, 0.748, 0.000]], "dos_ef_per_ev_cell": 11.38, "sg": "Immm, No. 71", "final_energy_ev_per_atom": -5.113}

***

Record 10
{"formula": "Sm8Pt2Au", "functional": "PBE-GGA", "state": "optimized geometry", "lattice_angstrom": [[4.303, -6.684, 0.000], [4.303, 6.684, 0.000], [-1.769, 0.000, 5.657]], "species": ["Sm", "Sm", "Sm", "Sm", "Sm", "Sm", "Sm", "Sm", "Pt", "Pt", "Au"], "fractional_positions": [[0.000, 0.000, 0.000], [0.038, 0.292, 0.597], [0.151, 0.605, 0.186], [0.292, 0.038, 0.597], [0.460, 0.713, 0.786], [0.605, 0.151, 0.186], [0.713, 0.460, 0.786], [0.748, 0.748, 0.371], [0.072, 0.679, 0.686], [0.679, 0.072, 0.686], [0.375, 0.375, 0.058]], "dos_ef_per_ev_cell": 14.59, "sg": "Cm, No. 8", "final_energy_ev_per_atom": -5.309}

***

Record 11
{"formula": "Ce2GaSi", "functional": "PBE-GGA", "state": "optimized geometry", "lattice_angstrom": [[-3.219, 4.177, 3.255], [3.219, -4.177, 3.255], [3.219, 4.177, -3.255]], "species": ["Ce", "Ce", "Ce", "Ce", "Ga", "Ga", "Si", "Si"], "fractional_positions": [[0.279, 0.000, 0.779], [0.279, 0.500, 0.279], [0.721, 0.000, 0.221], [0.721, 0.500, 0.721], [0.197, 0.447, 0.750], [0.803, 0.553, 0.250], [0.204, 0.954, 0.250], [0.796, 0.046, 0.750]], "dos_ef_per_ev_cell": 12.04, "formation_energy_uncorrected_ev_per_atom": -0.54, "sg": "Imma, No. 74", "final_energy_ev_per_atom": -5.619, "e_above_lowest_polymorph_kcal_per_mol_atoms": 0.60}

***

Record 12
{"formula": "Zr4Cu5", "functional": "PBE-GGA", "state": "optimized geometry", "lattice_angstrom": [[-4.212, 4.212, 2.181], [4.212, -4.212, 2.181], [4.212, 4.212, -2.181]], "species": ["Zr", "Zr", "Zr", "Zr", "Cu", "Cu", "Cu", "Cu", "Cu"], "fractional_positions": [[0.000, 0.315, 0.315], [0.000, 0.685, 0.685], [0.315, 0.000, 0.315], [0.685, 0.000, 0.685], [0.000, 0.000, 0.000], [0.344, 0.344, 0.688], [0.344, 0.656, 0.000], [0.656, 0.344, 0.000], [0.656, 0.656, 0.312]], "dos_ef_per_ev_cell": 6.56, "sg": "I4/mmm, No. 139", "final_energy_ev_per_atom": -6.097, "e_above_lowest_polymorph_kcal_per_mol_atoms": 0.00}

***

Record 13
{"formula": "CePuSc2", "functional": "PBE-GGA", "state": "optimized geometry", "lattice_angstrom": [[1.581, 0.913, 11.533], [-1.581, 0.913, 11.533], [0.000, -1.826, 11.533]], "species": ["Ce", "Pu", "Sc", "Sc"], "fractional_positions": [[0.000, 0.000, 0.000], [0.500, 0.500, 0.500], [0.089, 0.089, 0.089], [0.911, 0.911, 0.911]], "dos_ef_per_ev_cell": 11.79, "sg": "R-3m, No. 166", "final_energy_ev_per_atom": -8.060, "e_above_lowest_polymorph_kcal_per_mol_atoms": 1.54}

***

Record 14
{"formula": "Tb8PrTl2", "functional": "PBE-GGA", "state": "optimized geometry", "lattice_angstrom": [[9.467, -3.447, 0.000], [9.467, 3.447, 0.000], [-0.352, 0.000, 5.360]], "species": ["Tb", "Tb", "Tb", "Tb", "Tb", "Tb", "Tb", "Tb", "Pr", "Tl", "Tl"], "fractional_positions": [[0.047, 0.047, 0.238], [0.109, 0.627, 0.275], [0.300, 0.300, 0.766], [0.373, 0.891, 0.725], [0.627, 0.109, 0.275], [0.700, 0.700, 0.234], [0.891, 0.373, 0.725], [0.953, 0.953, 0.762], [0.500, 0.500, 0.000], [0.213, 0.213, 0.243], [0.787, 0.787, 0.757]], "dos_ef_per_ev_cell": 15.16, "sg": "C2/m, No. 12", "final_energy_ev_per_atom": -4.234}

***

Record 15
{"formula": "PmInSe", "functional": "PBE-GGA", "state": "optimized geometry", "lattice_angstrom": [[4.020, 0.000, 0.000], [-2.010, 3.481, 0.000], [0.000, 0.000, 13.224]], "species": ["Pm", "Pm", "In", "In", "Se", "Se"], "fractional_positions": [[0.000, 0.000, 0.187], [0.000, 0.000, 0.813], [0.000, 0.000, 0.500], [0.667, 0.333, 0.000], [0.667, 0.333, 0.319], [0.667, 0.333, 0.681]], "dos_ef_per_ev_cell": 2.11, "formation_energy_uncorrected_ev_per_atom": -0.85, "sg": "P-6m2, No. 187", "final_energy_ev_per_atom": -4.505}

***

Record 16
{"formula": "Ba2Na2Sn", "functional": "PBE-GGA", "state": "optimized geometry", "lattice_angstrom": [[8.295, 0.000, 0.000], [0.000, 8.295, 0.000], [0.000, 0.000, 5.668]], "species": ["Ba", "Ba", "Ba", "Ba", "Na", "Na", "Na", "Na", "Sn", "Sn"], "fractional_positions": [[0.200, 0.300, 0.000], [0.300, 0.800, 0.000], [0.700, 0.200, 0.000], [0.800, 0.700, 0.000], [0.131, 0.631, 0.500], [0.369, 0.131, 0.500], [0.631, 0.869, 0.500], [0.869, 0.369, 0.500], [0.000, 0.000, 0.500], [0.500, 0.500, 0.500]], "dos_ef_per_ev_cell": 2.63, "sg": "P4/mbm, No. 127", "final_energy_ev_per_atom": -2.262}

***

Record 17
{"formula": "CrCuOs2", "functional": "PBE-GGA", "state": "optimized geometry", "lattice_angstrom": [[-1.904, 1.904, 3.639], [1.904, -1.904, 3.639], [1.904, 1.904, -3.639]], "species": ["Cr", "Cu", "Os", "Os"], "fractional_positions": [[0.000, 0.000, 0.000], [0.500, 0.500, 0.000], [0.250, 0.750, 0.500], [0.750, 0.250, 0.500]], "dos_ef_per_ev_cell": 4.09, "sg": "I4/mmm, No. 139", "final_energy_ev_per_atom": -8.752, "e_above_lowest_polymorph_kcal_per_mol_atoms": 3.11}

***

Record 18
{"formula": "CuSe2S2Cl2", "functional": "PBE-GGA", "state": "optimized geometry", "lattice_angstrom": [[6.751, -2.320, 0.000], [6.751, 2.320, 0.000], [-3.737, 0.000, 6.210]], "species": ["Cu", "Se", "Se", "S", "S", "Cl", "Cl"], "fractional_positions": [[0.000, 0.000, 0.000], [0.262, 0.262, 0.827], [0.738, 0.738, 0.173], [0.177, 0.177, 0.055], [0.823, 0.823, 0.945], [0.405, 0.405, 0.712], [0.595, 0.595, 0.288]], "dos_ef_per_ev_cell": 4.02, "formation_energy_uncorrected_ev_per_atom": -0.02, "sg": "C2/m, No. 12", "final_energy_ev_per_atom": -3.310}

***

Record 19
{"formula": "Zn2PSe", "functional": "PBE-GGA", "state": "optimized geometry", "lattice_angstrom": [[1.515, 0.874, 9.774], [-1.515, 0.874, 9.774], [0.000, -1.749, 9.774]], "species": ["Zn", "Zn", "P", "Se"], "fractional_positions": [[0.000, 0.000, 0.000], [0.263, 0.263, 0.263], [0.535, 0.535, 0.535], [0.738, 0.738, 0.738]], "dos_ef_per_ev_cell": 3.82, "formation_energy_uncorrected_ev_per_atom": 0.30, "sg": "R3m, No. 160", "final_energy_ev_per_atom": -2.559}

***

Record 20
{"formula": "SiTc2Te", "functional": "PBE-GGA", "state": "optimized geometry", "lattice_angstrom": [[3.043, -4.103, 0.000], [3.043, 4.103, 0.000], [-1.488, 0.000, 2.688]], "species": ["Si", "Tc", "Tc", "Te"], "fractional_positions": [[0.000, 0.000, 0.000], [0.000, 0.500, 0.500], [0.500, 0.000, 0.500], [0.500, 0.500, 0.000]], "dos_ef_per_ev_cell": 3.74, "formation_energy_uncorrected_ev_per_atom": 0.52, "sg": "C2/m, No. 12", "final_energy_ev_per_atom": -6.805, "e_above_lowest_polymorph_kcal_per_mol_atoms": 12.08}

***

Record 21
{"formula": "LiIrCl3", "functional": "PBE-GGA", "state": "optimized geometry", "lattice_angstrom": [[4.856, 0.000, 0.000], [0.000, 4.856, 0.000], [0.000, 0.000, 4.856]], "species": ["Li", "Ir", "Cl", "Cl", "Cl"], "fractional_positions": [[0.000, 0.000, 0.000], [0.500, 0.500, 0.500], [0.000, 0.500, 0.500], [0.500, 0.000, 0.500], [0.500, 0.500, 0.000]], "dos_ef_per_ev_cell": 3.79, "formation_energy_uncorrected_ev_per_atom": -0.41, "sg": "Pm-3m, No. 221", "final_energy_ev_per_atom": -3.671, "e_above_lowest_polymorph_kcal_per_mol_atoms": 0.00}

***

Record 22
{"formula": "Np2CdGa9", "functional": "PBE-GGA", "state": "optimized geometry", "lattice_angstrom": [[4.261, 0.000, 0.000], [0.000, 4.261, 0.000], [0.000, 0.000, 12.853]], "species": ["Np", "Np", "Cd", "Ga", "Ga", "Ga", "Ga", "Ga", "Ga", "Ga", "Ga", "Ga"], "fractional_positions": [[0.000, 0.000, 0.169], [0.000, 0.000, 0.831], [0.000, 0.000, 0.500], [0.000, 0.500, 0.000], [0.000, 0.500, 0.336], [0.000, 0.500, 0.664], [0.500, 0.000, 0.000], [0.500, 0.000, 0.336], [0.500, 0.000, 0.664], [0.500, 0.500, 0.157], [0.500, 0.500, 0.500], [0.500, 0.500, 0.843]], "dos_ef_per_ev_cell": 20.43, "sg": "P4/mmm, No. 123", "final_energy_ev_per_atom": -4.587}

***

Record 23
{"formula": "ScInTe2", "functional": "PBE-GGA", "state": "optimized geometry", "lattice_angstrom": [[5.278, 0.000, 0.000], [0.000, 5.278, 0.000], [0.000, 0.000, 3.798]], "species": ["Sc", "In", "Te", "Te"], "fractional_positions": [[0.000, 0.000, 0.000], [0.500, 0.500, 0.000], [0.000, 0.500, 0.500], [0.500, 0.000, 0.500]], "dos_ef_per_ev_cell": 2.23, "formation_energy_uncorrected_ev_per_atom": -0.44, "sg": "P4/mmm, No. 123", "final_energy_ev_per_atom": -4.280}

***

Record 24
{"formula": "Na2SrAg", "functional": "PBE-GGA", "state": "optimized geometry", "lattice_angstrom": [[2.672, 1.543, 5.243], [-2.672, 1.543, 5.243], [0.000, -3.086, 5.243]], "species": ["Na", "Na", "Sr", "Ag"], "fractional_positions": [[0.000, 0.000, 0.000], [0.261, 0.261, 0.261], [0.779, 0.779, 0.779], [0.555, 0.555, 0.555]], "dos_ef_per_ev_cell": 2.05, "sg": "R3m, No. 160", "final_energy_ev_per_atom": -1.815, "e_above_lowest_polymorph_kcal_per_mol_atoms": 1.38}

***

Record 25
{"formula": "Be3BiF", "functional": "PBE-GGA", "state": "optimized geometry", "lattice_angstrom": [[4.152, 0.000, 0.000], [0.000, 4.152, 0.000], [0.000, 0.000, 4.152]], "species": ["Be", "Be", "Be", "Bi", "F"], "fractional_positions": [[0.000, 0.000, 0.500], [0.000, 0.500, 0.000], [0.500, 0.000, 0.000], [0.500, 0.500, 0.500], [0.000, 0.000, 0.000]], "dos_ef_per_ev_cell": 2.25, "formation_energy_uncorrected_ev_per_atom": 0.35, "sg": "Pm-3m, No. 221", "final_energy_ev_per_atom": -3.041, "e_above_lowest_polymorph_kcal_per_mol_atoms": 0.00}

***

The records above yield volume values of 513.33 81.28 586.96 160.03 535.72 41.32 82.98 192.04 334.63 325.46 175.05 154.74 99.88 349.81 185.03 390.00 52.78 194.48 77.67 67.12 114.50 233.37 105.80 129.69 71.56 Å³ per cell, respectively.